Record 1
Ba2FeTe | PBE | relaxed

```
data_Ba2FeTe
_space_group_name_H-M_alt 'P 4/m m m'
_space_group_IT_number 123
_space_group_name_Hall '-P 4 2'
_cell_length_a 5.805
_cell_length_b 5.805
_cell_length_c 4.208
_cell_angle_alpha 90.00
_cell_angle_beta 90.00
_cell_angle_gamma 90.00
loop_
_atom_site_label
_atom_site_fract_x
_atom_site_fract_y
_atom_site_fract_z
Ba1 0.000 0.500 0.000
Fe1 0.000 0.000 0.500
Te1 0.500 0.500 0.500
```

Computed properties:
Volume ... 35.45 A^3/atom
Total energy ... -4.130 eV/atom
Theoretical density ... 5.36 g/cm3

Record 2
BaFe2Te | PBE | relaxed

```
data_BaFe2Te
_space_group_name_H-M_alt 'P m m m'
_space_group_IT_number 47
_cell_length_a 4.555
_cell_length_b 4.866
_cell_length_c 5.124
_cell_angle_alpha 90.00
_cell_angle_beta 90.00
_cell_angle_gamma 90.00
loop_
_space_group_symop_operation_xyz
'x,y,z'
'-x,-y,-z'
'-x,-y,z'
'x,y,-z'
'x,-y,-z'
'-x,y,z'
'-x,y,-z'
'x,-y,z'
loop_
_atom_site_label
_atom_site_fract_x
_atom_site_fract_y
_atom_site_fract_z
Ba1 0.000 0.000 0.000
Fe1 0.500 0.223 0.500
Te1 0.000 0.500 0.500
```

Computed properties:
Volume ... 28.39 A^3/atom
Total energy ... -5.342 eV/atom
Theoretical density ... 5.51 g/cm3

Record 3
BaFeTe | PBE | relaxed

```
data_BaFeTe
_space_group_name_H-M_alt 'F -4 3 m'
_space_group_IT_number 216
_space_group_name_Hall 'F -4 2 3'
_cell_length_a 7.877
_cell_length_b 7.877
_cell_length_c 7.877
_cell_angle_alpha 90.00
_cell_angle_beta 90.00
_cell_angle_gamma 90.00
loop_
_atom_site_label
_atom_site_fract_x
_atom_site_fract_y
_atom_site_fract_z
Ba1 0.000 0.000 0.000
Fe1 0.250 0.250 0.250
Te1 0.250 0.250 0.750
```

Computed properties:
Volume ... 40.73 A^3/atom
Offset from the most stable computed form ... 2.350 eV/f.u.
Total energy ... -4.120 eV/atom
Theoretical density ... 4.36 g/cm3